[1]
A geometry-optimized Cs2AgCl structure. Source: the Alexandria database, functional PBE-GGA.

The structure in POSCAR format:
```
Cs2AgCl
1.0
-3.444 -2.406 8.301
8.356 -3.208 2.538
3.726 2.028 7.347
Ag Cs Cl
2 4 2
Direct
0.000 0.000 0.000 Ag
0.750 0.250 0.500 Ag
0.159 0.625 0.250 Cs
0.375 0.409 0.750 Cs
0.591 0.125 0.250 Cs
0.875 0.841 0.750 Cs
0.500 0.500 0.000 Cl
0.250 0.750 0.500 Cl
```

Summary:
Space-group type: I-42d, No. 122
Fermi-level density of states in states/eV per cell: 0.00
Energy relative to the elements, uncorrected in meV per atom: -862
Raw total energy in eV per atom: -2.463
Offset from the most stable computed form in kJ/mol of atoms: 9.03

---

[2]
A geometry-optimized CuGeAu3 structure. Source: the Alexandria database, functional PBE-GGA.

The structure in POSCAR format:
```
CuGeAu3
1.0
-2.349 -2.802 3.721
0.800 -5.914 -3.948
7.931 1.862 6.410
Au Cu Ge
12 4 4
Direct
0.387 0.696 0.531 Au
0.613 0.304 0.469 Au
0.084 0.992 0.231 Au
0.584 0.508 0.769 Au
0.916 0.008 0.769 Au
0.990 0.228 0.064 Au
0.416 0.492 0.231 Au
0.010 0.772 0.936 Au
0.510 0.728 0.064 Au
0.113 0.196 0.531 Au
0.887 0.804 0.469 Au
0.490 0.272 0.936 Au
0.468 0.903 0.363 Cu
0.032 0.403 0.363 Cu
0.968 0.597 0.637 Cu
0.532 0.097 0.637 Cu
0.596 0.126 0.194 Ge
0.404 0.874 0.806 Ge
0.904 0.626 0.194 Ge
0.096 0.374 0.806 Ge
```

Summary:
Space-group type: P2_1/c, No. 14
Fermi-level density of states in states/eV per cell: 3.96
Raw total energy in eV per atom: -3.674
Offset from the most stable computed form in kJ/mol of atoms: 0.39
Energy relative to the elements in eV/atom: 0.0356

---

[3]
A geometry-optimized Cd2AgB2 structure. Source: the Alexandria database, functional PBE-GGA.

The structure in POSCAR format:
```
Cd2AgB2
1.0
-1.366 -1.384 -2.144
-1.820 -1.176 1.919
-6.961 5.483 -1.058
B Cd Ag
2 2 1
Direct
0.250 0.750 0.500 B
0.750 0.250 0.500 B
0.627 0.627 0.746 Cd
0.373 0.373 0.254 Cd
0.000 0.000 0.000 Ag
```

Summary:
Space-group type: I4/mmm, No. 139
Fermi-level density of states in states/eV per cell: 2.14
Raw total energy in eV per atom: -2.901
Offset from the most stable computed form in kJ/mol of atoms: 0.00
Energy relative to the elements in eV/atom: 0.7066